BiWSeBr2 | PBE | optimized geometry

Results
raw formation energy: 2.3 eV/f.u.
energy: -4.27 eV/atom
relative energy among the computed polymorphs: 0 meV/atom

Lattice parameters (Å, degrees): 5.206 5.206 4.940 90.00 90.00 90.00
Each line ends with the local moment (μB).
Atoms (fractional coordinates):
Br1 0.000 0.500 0.000  0.04
Br2 0.500 0.000 0.000  0.04
Se1 0.000 0.000 0.500  -0.06
Bi1 0.500 0.500 0.500  0.39
W1 0.000 0.000 0.000  1.40



La2NiRh | PBE | optimized geometry

Results
formation energy: -406 meV per atom
energy: -6.15 eV/atom

Lattice parameters (Å, degrees): 6.620 6.620 6.620 146.94 143.57 50.00
Atoms (fractional coordinates):
La1 0.010 0.010 0.000
La2 0.739 0.239 0.500
Ni1 0.453 0.453 0.000
Rh1 0.297 0.797 0.500



BSe3F | PBE | optimized geometry

Results
raw formation energy: 2.6 eV/f.u.
energy: -3.28 eV/atom
relative energy among the computed polymorphs: 0 meV/atom

Lattice parameters (Å, degrees): 4.417 4.417 4.417 90.00 90.00 90.00
Atoms (fractional coordinates):
B1 0.000 0.000 0.000
Se1 0.000 0.500 0.000
Se2 0.000 0.000 0.500
Se3 0.500 0.000 0.000
F1 0.500 0.500 0.500



Cd3Hg2 | PBE | optimized geometry

Results
formation energy: 58 meV per atom
energy: -0.61 eV/atom
relative energy among the computed polymorphs: 37 meV/atom

Lattice parameters (Å, degrees): 4.834 4.834 6.352 90.00 90.00 120.00
Atoms (fractional coordinates):
Cd1 0.000 0.000 0.000
Cd2 0.667 0.333 0.657
Cd3 0.333 0.667 0.343
Hg1 0.667 0.333 0.189
Hg2 0.333 0.667 0.811



Ac2Ge4Rh | PBE | optimized geometry

Results
formation energy: -535 meV per atom
energy: -5.40 eV/atom

Lattice parameters (Å, degrees): 4.921 6.052 6.051 90.00 90.00 90.00
Atoms (fractional coordinates):
Ac1 0.500 0.000 0.500
Ac2 0.500 0.500 0.000
Rh1 0.000 0.000 0.000
Ge1 0.000 0.712 0.712
Ge2 0.000 0.288 0.288
Ge3 0.000 0.712 0.288
Ge4 0.000 0.288 0.712



LiSmScTc | PBE | optimized geometry

Results
formation energy: -11 meV per atom
energy: -5.84 eV/atom

Lattice parameters (Å, degrees): 4.841 4.841 4.841 60.00 60.00 60.00
Atoms (fractional coordinates):
Sc1 0.250 0.250 0.250
Tc1 0.500 0.500 0.500
Sm1 0.750 0.750 0.750
Li1 0.000 0.000 0.000



ZrSb2Ir | PBE | optimized geometry

Results
raw formation energy: -0.3 eV/f.u.
energy: -6.50 eV/atom
relative energy among the computed polymorphs: 282 meV/atom

Lattice parameters (Å, degrees): 4.863 4.863 4.863 60.00 60.00 60.00
Atoms (fractional coordinates):
Sb1 0.250 0.250 0.250
Sb2 0.750 0.750 0.750
Ir1 0.500 0.500 0.500
Zr1 0.000 0.000 0.000



Cr2NiRh | PBE | optimized geometry

Results
formation energy: 4 meV per atom
energy: -8.09 eV/atom

Lattice parameters (Å, degrees): 4.540 4.540 4.540 133.54 133.54 67.81
Each line ends with the local moment (μB).
Atoms (fractional coordinates):
Ni1 0.750 0.250 0.500  0.00
Rh1 0.250 0.750 0.500  0.01
Cr1 0.000 0.000 0.000  0.17
Cr2 0.500 0.500 0.000  0.17



KW2Se | PBE | optimized geometry

Results
raw formation energy: 5.1 eV/f.u.
energy: -6.35 eV/atom

Lattice parameters (Å, degrees): 4.859 4.859 9.871 75.75 75.75 90.00
Atoms (fractional coordinates):
K1 0.500 0.500 0.000
K2 0.250 0.750 0.500
Se1 0.000 0.000 0.000
Se2 0.750 0.250 0.500
W1 0.875 0.125 0.250
W2 0.875 0.625 0.250
W3 0.375 0.125 0.750
W4 0.875 0.125 0.750



Er5ThZn4 | PBE | optimized geometry

Results
formation energy: -279 meV per atom
energy: -3.81 eV/atom

Lattice parameters (Å, degrees): 3.540 3.540 19.107 90.00 90.00 90.00
Atoms (fractional coordinates):
Er1 0.500 0.500 0.130
Er2 0.500 0.500 0.316
Er3 0.500 0.500 0.500
Er4 0.500 0.500 0.684
Er5 0.500 0.500 0.870
Th1 0.000 0.000 0.000
Zn1 0.000 0.000 0.223
Zn2 0.000 0.000 0.407
Zn3 0.000 0.000 0.593
Zn4 0.000 0.000 0.777



TcGeC2S | PBE | optimized geometry

Results
raw formation energy: 6.2 eV/f.u.
energy: -6.28 eV/atom

Lattice parameters (Å, degrees): 3.921 5.174 3.921 90.00 90.00 90.00
Atoms (fractional coordinates):
S1 0.000 0.500 0.000
C1 0.000 0.000 0.500
C2 0.500 0.000 0.000
Ge1 0.500 0.500 0.500
Tc1 0.000 0.000 0.000



Al2SiN | PBE | optimized geometry

Results
raw formation energy: -1.2 eV/f.u.
energy: -5.60 eV/atom
relative energy among the computed polymorphs: 0 meV/atom

Lattice parameters (Å, degrees): 5.174 5.174 5.955 64.25 64.25 90.00
Atoms (fractional coordinates):
Si1 0.000 0.000 0.000
Si2 0.750 0.250 0.500
Al1 0.534 0.125 0.250
Al2 0.216 0.625 0.250
Al3 0.375 0.466 0.750
Al4 0.875 0.784 0.750
N1 0.500 0.500 0.000
N2 0.250 0.750 0.500